# Cs3Ca5H12

A relaxed structure of Cs3Ca5H12 (PBE-GGA, the Alexandria database).

Values from the calculation:
The magnetic moment is 0.9 μB per formula unit. As for the density of states at the Fermi level: 5.6 states/eV/f.u. The value obtained for the total energy is -2.94 eV/atom.

Lattice parameters (Å, degrees): 15.0532 15.0532 15.0532 90.00 90.00 90.00
Closest atoms and distances in Å follow each position.
Space group Ia-3d (No. 230)
Asymmetric unit:
1 Cs 0.0000 0.2500 0.1250 x24  8 H 3.02-3.16
2 Ca 0.0000 0.0000 0.0000 x16  6 H 2.30
3 Ca 0.0000 0.2500 0.3750 x24  4 H 2.20
4 H 0.0377 0.0438 0.6415 x96  2 Ca 2.20-2.30

---

# Ta2BTe

A relaxed structure of Ta2BTe (PBE-GGA, the Alexandria database).

Values from the calculation:
The magnetic moment is 0.0 μB per formula unit. As for the density of states at the Fermi level: 3.0 states/eV/f.u. The value obtained for the total energy is -7.79 eV/atom. As for the energy relative to the elements, uncorrected: 2.37 eV per formula unit.

Lattice parameters (Å, degrees): 6.3899 6.3899 6.3899 90.00 90.00 90.00
Closest atoms and distances in Å follow each position.
Space group Fm-3m (No. 225)
Asymmetric unit:
1 Ta 0.2500 0.2500 0.2500 x8  4 Te 2.77, 4 B 2.77
2 B 0.0000 0.0000 0.0000 x4  8 Ta 2.77
3 Te 0.0000 0.0000 0.5000 x4  8 Ta 2.77

---

# BeAlTl2Te4

A relaxed structure of BeAlTl2Te4 (PBE-GGA, the Alexandria database).

Values from the calculation:
The magnetic moment is 0.0 μB per formula unit. As for the density of states at the Fermi level: 5.6 states/eV/f.u. The value obtained for the total energy is -3.37 eV/atom. As for the energy relative to the elements, uncorrected: -2.18 eV per formula unit.

Lattice parameters (Å, degrees): 6.8612 6.8783 7.2988 116.68 116.81 92.08
Closest atoms and distances in Å follow each position.
Space group P1 (No. 1)
Asymmetric unit:
1 Be 0.0000 0.0000 0.0000 x1  4 Te 2.44-2.48
2 Al 0.2501 0.7524 0.4986 x1  4 Te 2.64-2.67
3 Tl 0.4217 0.5765 0.0018 x1  6 Te 3.33-3.60
4 Tl 0.7011 0.3088 0.4985 x1  5 Te 3.29-3.66
5 Te 0.1338 0.3327 0.4048 x1  1 Be 2.48, 1 Al 2.65
6 Te 0.3055 0.0481 0.9232 x1  1 Be 2.45, 1 Al 2.67
7 Te 0.6707 0.8830 0.5987 x1  1 Be 2.47, 1 Al 2.64
8 Te 0.9462 0.6958 0.0750 x1  1 Be 2.44, 1 Al 2.67

---

# Nd3YTh3Se8

A relaxed structure of Nd3YTh3Se8 (PBE-GGA, the Alexandria database).

Values from the calculation:
The magnetic moment is 0.0 μB per formula unit. As for the density of states at the Fermi level: 12.0 states/eV/f.u. The value obtained for the total energy is -6.47 eV/atom. As for the energy relative to the elements, uncorrected: -26.15 eV per formula unit.

Lattice parameters (Å, degrees): 8.3672 8.3672 20.6395 90.00 90.00 120.00
Closest atoms and distances in Å follow each position.
Space group R-3m (No. 166, hexagonal axes)
Asymmetric unit:
1 Nd 0.0000 0.5000 0.0000 x9  6 Se 2.96-2.97
2 Y 0.0000 0.0000 0.5000 x3  6 Se 2.96
3 Th 0.0000 0.5000 0.5000 x9  6 Se 2.96-2.97
4 Se 0.0000 0.0000 0.2502 x6  3 Nd 2.96, 3 Th 2.97
5 Se 0.0001 0.5000 0.2494 x18  1 Y 2.96, 2 Th 2.96, 2 Nd 2.97

---

# Mg4ZnSn2

A relaxed structure of Mg4ZnSn2 (PBE-GGA, the Alexandria database).

Values from the calculation:
The magnetic moment is 0.0 μB per formula unit. The energy relative to the elements comes out at 0.0641 eV/atom. As for the density of states at the Fermi level: 3.0 states/eV/f.u. The value obtained for the total energy is -2.17 eV/atom.

Lattice parameters (Å, degrees): 5.2434 5.2434 12.9334 90.00 90.00 90.00
Closest atoms and distances in Å follow each position.
Space group I4/mmm (No. 139)
Asymmetric unit:
1 Mg 0.0000 0.5000 0.0000 x4  2 Zn 2.62
2 Mg 0.0000 0.5000 0.2500 x4  4 Sn 3.02, 2 Mg 3.23
3 Zn 0.0000 0.0000 0.0000 x2  4 Mg 2.62
4 Sn 0.0000 0.0000 0.3664 x4  8 Mg 3.02-3.14

---

# Ac3Ge2Ir4

A relaxed structure of Ac3Ge2Ir4 (PBE-GGA, the Alexandria database).

Values from the calculation:
The magnetic moment is 0.0 μB per formula unit. The energy relative to the elements comes out at -0.6627 eV/atom. As for the density of states at the Fermi level: 4.8 states/eV/f.u. The value obtained for the total energy is -7.00 eV/atom.

Lattice parameters (Å, degrees): 11.6400 4.3232 9.1122 90.00 111.10 90.00
Closest atoms and distances in Å follow each position.
Space group C2/m (No. 12)
Asymmetric unit:
1 Ac 0.0000 0.0000 0.0000 x2  6 Ir 3.27-3.47, 4 Ge 3.45
2 Ac 0.1227 0.5000 0.6874 x4  6 Ir 3.08-3.32, 3 Ge 3.30-3.32
3 Ge 0.1570 0.5000 0.3000 x4  4 Ir 2.46-2.60
4 Ir 0.1603 0.0000 0.4311 x4  3 Ge 2.46-2.60
5 Ir 0.2230 0.5000 0.0624 x4  1 Ge 2.54, 2 Ir 2.62

---

# AcPmSbRh

A relaxed structure of AcPmSbRh (PBE-GGA, the Alexandria database).

Values from the calculation:
The magnetic moment is 0.0 μB per formula unit. As for the density of states at the Fermi level: 1.7 states/eV/f.u. The value obtained for the total energy is -5.70 eV/atom. As for the energy relative to the elements, uncorrected: -2.48 eV per formula unit.

Lattice parameters (Å, degrees): 7.6338 7.6338 7.6338 90.00 90.00 90.00
Closest atoms and distances in Å follow each position.
Space group F-43m (No. 216)
Asymmetric unit:
1 Ac 0.0000 0.0000 0.0000 x4  4 Sb 3.31, 4 Rh 3.31
2 Pm 0.0000 0.0000 0.5000 x4  4 Sb 3.31, 4 Rh 3.31
3 Sb 0.2500 0.2500 0.2500 x4  4 Ac 3.31, 4 Pm 3.31
4 Rh 0.2500 0.2500 0.7500 x4  4 Ac 3.31, 4 Pm 3.31

---

# CdNiBPd2

A relaxed structure of CdNiBPd2 (PBE-GGA, the Alexandria database).

Values from the calculation:
The magnetic moment is 0.0 μB per formula unit. The energy relative to the elements comes out at -0.2216 eV/atom. As for the density of states at the Fermi level: 2.7 states/eV/f.u. The value obtained for the total energy is -4.97 eV/atom.

Lattice parameters (Å, degrees): 4.2291 4.2291 3.9303 90.00 90.00 90.00
Closest atoms and distances in Å follow each position.
Space group P4/mmm (No. 123)
Asymmetric unit:
1 Cd 0.0000 0.0000 0.0000 x1  8 Pd 2.89, 4 Ni 2.99
2 Ni 0.5000 0.5000 0.0000 x1  2 B 1.97
3 B 0.5000 0.5000 0.5000 x1  2 Ni 1.97, 4 Pd 2.11
4 Pd 0.0000 0.5000 0.5000 x2  2 B 2.11

---

# Ba2Hg7Bi2

A relaxed structure of Ba2Hg7Bi2 (PBE-GGA, the Alexandria database).

Values from the calculation:
The magnetic moment is 0.0 μB per formula unit. The energy relative to the elements comes out at -0.3195 eV/atom. As for the density of states at the Fermi level: 3.2 states/eV/f.u. The value obtained for the total energy is -1.57 eV/atom.

Lattice parameters (Å, degrees): 9.8218 10.9430 6.7129 90.00 103.89 90.00
Closest atoms and distances in Å follow each position.
Space group C2/m (No. 12)
Asymmetric unit:
1 Ba 0.2419 0.0000 0.0620 x4  7 Hg 3.50-3.76, 4 Bi 3.71
2 Hg 0.0000 0.0000 0.5000 x2  4 Hg 3.06
3 Hg 0.1139 0.5000 0.3804 x4  3 Hg 3.05-3.39
4 Hg 0.1650 0.2327 0.6517 x8  2 Hg 2.95-3.06, 1 Bi 3.17
5 Bi 0.0000 0.2648 0.0000 x4  2 Hg 3.17

---

# Fe3CuHg

A relaxed structure of Fe3CuHg (PBE-GGA, the Alexandria database).

Values from the calculation:
The magnetic moment is 8.7 μB per formula unit. The energy relative to the elements comes out at 1.0376 eV/atom. As for the density of states at the Fermi level: 5.5 states/eV/f.u. The value obtained for the total energy is -4.92 eV/atom.

Lattice parameters (Å, degrees): 4.4145 4.4145 4.4145 90.00 90.00 90.00
Closest atoms and distances in Å follow each position.
Space group Pm-3m (No. 221)
Asymmetric unit:
1 Fe 0.0000 0.0000 0.5000 x3  2 Cu 2.21
2 Cu 0.0000 0.0000 0.0000 x1  6 Fe 2.21
3 Hg 0.5000 0.5000 0.5000 x1  12 Fe 3.12

---

# Ba2Ga2O5

A relaxed structure of Ba2Ga2O5 (PBE-GGA, the Alexandria database).

Values from the calculation:
The magnetic moment is 0.0 μB per formula unit. As for the density of states at the Fermi level: 0.0 states/eV/f.u. The value obtained for the total energy is -6.04 eV/atom. As for the energy relative to the elements, uncorrected: -19.67 eV per formula unit.

Lattice parameters (Å, degrees): 10.9735 4.1107 6.4264 90.00 103.34 90.00
Closest atoms and distances in Å follow each position.
Space group C2/m (No. 12)
Asymmetric unit:
1 Ba 0.1008 0.0000 0.3246 x4  6 O 2.69-2.96
2 Ga 0.1531 0.5000 0.8936 x4  3 O 1.85-1.95
3 O 0.0000 0.5000 0.0000 x2  2 Ga 1.95
4 O 0.1436 0.5000 0.6024 x4  1 Ga 1.85
5 O 0.1746 0.0000 0.9462 x4  3 Ga 1.93-2.09

---

# VNiAsBr2

A relaxed structure of VNiAsBr2 (PBE-GGA, the Alexandria database).

Values from the calculation:
The magnetic moment is 0.2 μB per formula unit. As for the density of states at the Fermi level: 9.3 states/eV/f.u. The value obtained for the total energy is -3.82 eV/atom. As for the energy relative to the elements, uncorrected: 3.80 eV per formula unit.

Lattice parameters (Å, degrees): 4.7702 4.7702 4.7956 90.00 90.00 90.00
Closest atoms and distances in Å follow each position.
Space group P4/mmm (No. 123)
Asymmetric unit:
1 V 0.0000 0.0000 0.0000 x1  4 As 3.37, 8 Br 3.38
2 Ni 0.5000 0.5000 0.5000 x1  4 Br 2.39, 2 As 2.40
3 As 0.5000 0.5000 0.0000 x1  2 Ni 2.40
4 Br 0.0000 0.5000 0.5000 x2  2 Ni 2.39